The following is a DFT calculation (PBE) of a geometry-optimized Li2Sc2Ga2CuNi structure.

As for the space group: P-4m2, No. 115. The value obtained for the total DFT energy (no corrections) is -35.391 eV/cell.

a = 4.3466 Å, b = 4.3466 Å, c = 6.1427 Å
α = 90.00°, β = 90.00°, γ = 90.00°
Sites, in units of the cell vectors:
Li1 0.5000 0.5000 0.5000
Ni1 0.5000 0.5000 0.0000
Cu1 0.0000 0.0000 0.5000
Ga1 0.5000 0.0000 0.2443
Sc1 0.0000 0.5000 0.2402
Li2 0.0000 0.0000 0.0000
Ga2 0.0000 0.5000 0.7557
Sc2 0.5000 0.0000 0.7598

The following is a DFT calculation (PBE) of a geometry-optimized PaPtNO structure.

As for the space group: P4/nmm, No. 129. The excess energy over the best structure of this formula in the dataset is 147 meV/atom.

a = 3.6342 Å, b = 3.6342 Å, c = 8.0326 Å
α = 90.00°, β = 90.00°, γ = 90.00°
Sites, in units of the cell vectors:
N1 0.2500 0.2500 0.7455
Pt1 0.2500 0.7500 0.5000
Pt2 0.7500 0.2500 0.5000
O1 0.2500 0.7500 0.0000
N2 0.7500 0.7500 0.2545
Pa1 0.2500 0.2500 0.1873
Pa2 0.7500 0.7500 0.8127
O2 0.7500 0.2500 0.0000

For reference, total moment by record: 0.00; 0.00 μB per formula unit.